DFT (GGA+U) results for a geometry-optimized MnCdF2 structure.

DOS at the Fermi energy   0.7 states/eV per cell
Energy   -16.8 eV/cell
M_tot   5.00 μB per cell
Symmetry   Fm-3m (225)

abc: 4.4348 4.4348 4.4348
angles: 60.00 60.00 60.00
Closest atoms and distances in Å follow each position.
Sites, in units of the cell vectors:
F1 0.2500 0.2500 0.2500  4 Cd 2.72, 4 Mn 2.72
F2 0.7500 0.7500 0.7500  4 Cd 2.72, 4 Mn 2.72
Mn1 0.0000 0.0000 0.0000  8 F 2.72
Cd1 0.5000 0.5000 0.5000  8 F 2.72